Na3W2N4 | GGA-PBE | relaxed

Summary:
Total moment, μB/cell: 0.00
Volume, Å³/cell: 124.4
ΔE_f (raw), eV per atom: -0.246

Cell lengths 5.980, 5.980, 8.320 Å; angles 119.38, 119.38, 29.01 degrees
Fractional coordinates of all 9 atoms:
1 Na 0.000 0.000 0.000
2 Na 0.397 0.397 0.619
3 Na 0.603 0.603 0.381
4 W 0.223 0.223 0.836
5 W 0.777 0.777 0.164
6 N 0.234 0.234 0.284
7 N 0.382 0.382 0.095
8 N 0.618 0.618 0.905
9 N 0.766 0.766 0.716

***

NaYW2N | GGA-PBE | relaxed

Summary:
Total moment, μB/cell: 0.00
Volume, Å³/cell: 85.7
ΔE_f (raw), eV per atom: 0.181

Cell lengths 4.129, 4.129, 5.025 Å; angles 90.00, 90.00, 90.00 degrees
Fractional coordinates of all 5 atoms:
1 Na 0.000 0.000 0.000
2 Y 0.500 0.500 0.000
3 W 0.000 0.500 0.500
4 W 0.500 0.000 0.500
5 N 0.500 0.500 0.500

***

Na3Zr2WN6 | GGA-PBE | relaxed

Summary:
Total moment, μB/cell: 0.00
Volume, Å³/cell: 154.2
ΔE_f (raw), eV per atom: -0.722

Cell lengths 5.587, 5.587, 6.000 Å; angles 98.94, 98.94, 120.00 degrees
Fractional coordinates of all 12 atoms:
1 Na 0.000 0.000 0.000
2 Na 0.334 0.666 0.000
3 Na 0.666 0.334 0.000
4 Zr 0.167 0.833 0.500
5 Zr 0.833 0.167 0.500
6 W 0.500 0.500 0.500
7 N 0.122 0.435 0.305
8 N 0.252 0.252 0.694
9 N 0.435 0.122 0.305
10 N 0.565 0.878 0.695
11 N 0.748 0.748 0.306
12 N 0.878 0.565 0.695

***

Na2YN2 | GGA-PBE | relaxed

Summary:
Total moment, μB/cell: 1.00
Volume, Å³/cell: 68.4
ΔE_f (raw), eV per atom: 0.126

Cell lengths 6.327, 6.327, 6.327 Å; angles 148.64, 148.64, 44.94 degrees
Fractional coordinates of all 5 atoms:
1 Na 0.250 0.750 0.500
2 Na 0.750 0.250 0.500
3 Y 0.000 0.000 0.000
4 N 0.397 0.397 0.000
5 N 0.603 0.603 0.000

***

What is the volume in the first record? 124.4 Å³/cell

***

Among the records above, which one has the highest total moment? Na2YN2